No. 1
Material: Li2CdPt
Method: DFT, PBE
State: optimized geometry

Calculated values
Crystal system: monoclinic
Formation energy from the elements: -0.40 eV per atom

a b c (Å): 4.951 4.951 4.644
angles (deg): 76.29 76.29 34.89
Sites, in units of the cell vectors:
Cd: 0.247 0.247 0.246
Pt: 0.493 0.493 0.521
Li: 0.761 0.761 0.729
Li: 0.999 0.999 0.005

---

No. 2
Material: Li2Cd2Pt
Method: DFT, PBE
State: optimized geometry

Calculated values
Crystal system: tetragonal
Formation energy from the elements: -0.19 eV per atom

a b c (Å): 7.395 7.395 3.098
angles (deg): 90.00 90.00 90.00
Sites, in units of the cell vectors:
Pt: 0.000 0.000 0.000
Pt: 0.500 0.500 0.000
Li: 0.837 0.337 0.500
Li: 0.663 0.837 0.500
Li: 0.163 0.663 0.500
Li: 0.337 0.163 0.500
Cd: 0.141 0.359 0.000
Cd: 0.859 0.641 0.000
Cd: 0.359 0.859 0.000
Cd: 0.641 0.141 0.000

---

Sequential raw total energy output: -12.4, -25.3 eV for the cell shown